This record from Alexandria describes CuPd14W after structural relaxation. The functional is PBE.

Geometry as CIF:
```
data_CuPd14W
_cell_length_a 5.617
_cell_length_b 5.617
_cell_length_c 7.732
_cell_angle_alpha 90.00
_cell_angle_beta 90.00
_cell_angle_gamma 90.00
_space_group_name_H-M_alt 'P 4/m m m'
_space_group_IT_number 123
_space_group_name_Hall '-P 4 2'
loop_
_atom_site_label
_atom_site_fract_x
_atom_site_fract_y
_atom_site_fract_z
Cu1 0.000 0.000 0.000
Pd1 0.000 0.000 0.500
Pd2 0.000 0.500 0.000
Pd3 0.000 0.500 0.500
Pd4 0.252 0.252 0.241
Pd5 0.500 0.500 0.500
W1 0.500 0.500 0.000
```

- energy of formation (kJ per mole of atoms) = -5.39
- crystal system = tetragonal
- total energy (eV/atom) = -5.67